BaLaGa2 | PBE | optimized geometry

abc: 3.948 3.948 7.827
angles: 90.00 90.00 90.00
Space group P4/mmm (No. 123)
Unique sites:
Ba: 0.000 0.000 0.000 x1
La: 0.000 0.000 0.500 x1
Ga: 0.500 0.500 0.290 x2

Computed properties:
- Formation energy: -0.432 eV/atom

Er7Co2Pb | PBE | optimized geometry

abc: 8.789 13.354 4.906
angles: 90.00 90.00 90.00
Space group Cmmm (No. 65)
Unique sites:
Er: 0.000 0.000 0.000 x2
Er: 0.000 0.207 0.500 x4
Er: 0.186 0.366 0.000 x8
Co: 0.000 0.203 0.000 x4
Pb: 0.000 0.500 0.500 x2

Computed properties:
- Formation energy: -0.081 eV/atom

La2Ni4Ge3Pt | PBE | optimized geometry

abc: 4.193 4.193 9.959
angles: 90.00 90.00 90.00
Space group P-4m2 (No. 115)
Unique sites:
La: 0.000 0.500 0.248 x2
Ni: 0.000 0.000 0.500 x1
Ni: 0.000 0.500 0.859 x2
Ni: 0.500 0.500 0.500 x1
Ge: 0.000 0.000 0.000 x1
Ge: 0.000 0.500 0.619 x2
Pt: 0.500 0.500 0.000 x1

Computed properties:
- Formation energy: -0.663 eV/atom

Li7Pm3Pt4 | PBE | optimized geometry

abc: 15.815 4.162 10.104
angles: 90.00 125.95 90.00
Space group C2/m (No. 12)
Unique sites:
Li: 0.000 0.000 0.000 x2
Li: 0.017 0.500 0.803 x4
Li: 0.168 0.000 0.931 x4
Li: 0.170 0.500 0.501 x4
Pm: 0.000 0.000 0.500 x2
Pm: 0.207 0.500 0.241 x4
Pt: 0.109 0.000 0.320 x4
Pt: 0.157 0.500 0.748 x4

Computed properties:
- Formation energy: -0.618 eV/atom

Ac2LaCeN4 | PBE | optimized geometry

abc: 6.513 3.773 6.550
angles: 90.00 109.21 90.00
Space group P2/m (No. 10)
Unique sites:
Ac: 0.000 0.000 0.000 x1
Ac: 0.500 0.500 0.000 x1
La: 0.000 0.500 0.500 x1
Ce: 0.500 0.000 0.500 x1
N: 0.260 0.000 0.727 x2
N: 0.268 0.500 0.275 x2

Computed properties:
- Formation energy (no corrections): -9.7 eV/f.u.

MgTe3W | PBE | optimized geometry

abc: 5.213 5.213 5.213
angles: 90.00 90.00 90.00
Space group Pm-3m (No. 221)
Unique sites:
Mg: 0.000 0.000 0.000 x1
Te: 0.000 0.000 0.500 x3
W: 0.500 0.500 0.500 x1

Computed properties:
- Formation energy (no corrections): 7.3 eV/f.u.
- Relative energy among the computed polymorphs: 0.958 eV per atom

LaSiNi | PBE | optimized geometry

abc: 4.184 4.184 14.037
angles: 90.00 90.00 90.00
Space group I4_1md (No. 109)
Unique sites:
La: 0.000 0.000 0.000 x4
Si: 0.000 0.000 0.420 x4
Ni: 0.000 0.000 0.589 x4

Computed properties:
- Formation energy (no corrections): -2.2 eV/f.u.

BiW3C | PBE | optimized geometry

abc: 5.028 5.028 5.028
angles: 90.00 90.00 90.00
Space group Pm-3m (No. 221)
Unique sites:
Bi: 0.000 0.000 0.000 x1
W: 0.000 0.000 0.500 x3
C: 0.500 0.500 0.500 x1

Computed properties:
- Formation energy: 4.529 eV/atom
- Relative energy among the computed polymorphs: 3.774 eV per atom

TcW2Au | PBE | optimized geometry

abc: 3.236 4.422 9.086
angles: 90.00 90.00 90.00
Space group Cmm2 (No. 35)
Unique sites:
Tc: 0.000 0.000 0.000 x2
W: 0.000 0.000 0.477 x2
W: 0.000 0.500 0.233 x2
Au: 0.000 0.500 0.737 x2

Computed properties:
- Formation energy: 0.254 eV/atom
- Relative energy among the computed polymorphs: 0.037 eV per atom

Mn2BeAs | PBE | optimized geometry

abc: 7.897 2.751 4.372
angles: 90.00 99.22 90.00
Space group C2/m (No. 12)
Unique sites:
Mn: 0.250 0.000 0.238 x4
Be: 0.000 0.500 0.000 x2
As: 0.000 0.000 0.500 x2

Computed properties:
- Formation energy: 0.105 eV/atom
- Relative energy among the computed polymorphs: 0.147 eV per atom

LaGe2PdRh | PBE | optimized geometry

abc: 4.409 4.409 9.982
angles: 90.00 90.00 90.00
Space group P4/nmm (No. 129, origin choice 2)
Unique sites:
La: 0.250 0.250 0.242 x2
Ge: 0.250 0.250 0.631 x2
Ge: 0.250 0.750 0.000 x2
Pd: 0.250 0.750 0.500 x2
Rh: 0.250 0.250 0.877 x2

Computed properties:
- Formation energy: -0.878 eV/atom
- Relative energy among the computed polymorphs: 0.013 eV per atom

ZnPdF4 | PBE | optimized geometry

abc: 6.333 6.333 4.916
angles: 90.00 90.00 90.00
Space group I-4 (No. 82)
Unique sites:
Zn: 0.000 0.000 0.000 x2
Pd: 0.000 0.500 0.750 x2
F: 0.122 0.208 0.755 x8

Computed properties:
- Formation energy (no corrections): -9.9 eV/f.u.
- Relative energy among the computed polymorphs: 0.000 eV per atom